A plane-wave DFT calculation with PBE-GGA was carried out for an optimized crystal structure of ErNbPO.

Calculated values
- E_tot (eV/atom) = -8.02
- distance to the lowest polymorph of the same formula (meV per atom) = 222
- space group = Pmc2_1 (26)

```
ErNbPO
1.0
4.172 0.000 0.000
0.000 4.725 0.000
0.000 0.000 6.482
Er Nb P O
2 2 2 2
direct
0.000 0.162 0.000
0.000 0.838 0.500
0.500 0.367 0.352
0.500 0.633 0.852
0.500 0.138 0.704
0.500 0.862 0.204
0.000 0.369 0.347
0.000 0.631 0.847
```


A plane-wave DFT calculation with PBE-GGA was carried out for an optimized crystal structure of Sr2Cu3.

Calculated values
- E_tot (eV/atom) = -2.98
- space group = P-3m1 (164)

```
Sr2Cu3
1.0
4.182 0.000 0.000
-2.091 3.622 0.000
0.000 0.000 8.568
Sr Cu
2 3
direct
0.333 0.667 0.206
0.667 0.333 0.794
0.000 0.000 0.500
0.333 0.667 0.555
0.667 0.333 0.445
```


A plane-wave DFT calculation with PBE-GGA was carried out for an optimized crystal structure of DyCo2GeP.

Calculated values
- E_tot (eV/atom) = -6.60
- space group = I4mm (107)

```
DyCo2GeP
1.0
3.909 0.000 0.000
0.000 3.909 0.000
0.000 0.000 9.722
Dy Co Ge P
2 4 2 2
direct
0.000 0.000 0.000
0.500 0.500 0.500
0.000 0.500 0.238
0.000 0.500 0.738
0.500 0.000 0.238
0.500 0.000 0.738
0.000 0.000 0.371
0.500 0.500 0.871
0.000 0.000 0.629
0.500 0.500 0.129
```


A plane-wave DFT calculation with PBE-GGA was carried out for an optimized crystal structure of Zr3TaSi2.

Calculated values
- E_tot (eV/atom) = -8.77
- space group = Fmm2 (42)

```
Zr3TaSi2
1.0
0.000 4.539 4.651
2.629 0.000 4.651
2.629 4.539 0.000
Zr Ta Si
3 1 2
direct
0.000 0.000 0.000
0.498 0.816 0.184
0.816 0.498 0.502
0.316 0.316 0.684
0.404 0.404 0.096
0.904 0.904 0.596
```


A plane-wave DFT calculation with PBE-GGA was carried out for an optimized crystal structure of RbPmPa.

Calculated values
- E_tot (eV/atom) = -3.27
- space group = F-43m (216)

```
RbPmPa
1.0
8.123 0.000 0.000
0.000 8.123 0.000
0.000 0.000 8.123
Rb Pm Pa
4 4 4
direct
0.000 0.000 0.000
0.000 0.500 0.500
0.500 0.000 0.500
0.500 0.500 0.000
0.250 0.250 0.750
0.250 0.750 0.250
0.750 0.250 0.250
0.750 0.750 0.750
0.000 0.000 0.500
0.000 0.500 0.000
0.500 0.000 0.000
0.500 0.500 0.500
```


A plane-wave DFT calculation with PBE-GGA was carried out for an optimized crystal structure of HfF.

Calculated values
- E_tot (eV/atom) = -7.06
- distance to the lowest polymorph of the same formula (meV per atom) = 244
- space group = P-6m2 (187)

```
HfF
1.0
2.958 0.000 0.000
-1.479 2.562 0.000
0.000 0.000 3.904
Hf F
1 1
direct
0.000 0.000 0.000
0.333 0.667 0.500
```


A plane-wave DFT calculation with PBE-GGA was carried out for an optimized crystal structure of HfGa2Cu.

Calculated values
- E_tot (eV/atom) = -5.30
- space group = P4/mmm (123)

```
HfGa2Cu
1.0
4.019 0.000 0.000
0.000 4.019 0.000
0.000 0.000 3.957
Hf Ga Cu
1 2 1
direct
0.000 0.000 0.000
0.000 0.500 0.500
0.500 0.000 0.500
0.500 0.500 0.000
```


A plane-wave DFT calculation with PBE-GGA was carried out for an optimized crystal structure of TaHg2Sb.

Calculated values
- E_tot (eV/atom) = -3.52
- space group = F-43m (216)

```
TaHg2Sb
1.0
7.056 0.000 0.000
0.000 7.056 0.000
0.000 0.000 7.056
Ta Hg Sb
4 8 4
direct
0.000 0.000 0.000
0.000 0.500 0.500
0.500 0.000 0.500
0.500 0.500 0.000
0.000 0.000 0.500
0.000 0.500 0.000
0.250 0.250 0.250
0.250 0.750 0.750
0.500 0.000 0.000
0.500 0.500 0.500
0.750 0.250 0.750
0.750 0.750 0.250
0.250 0.250 0.750
0.250 0.750 0.250
0.750 0.250 0.250
0.750 0.750 0.750
```


A plane-wave DFT calculation with PBE-GGA was carried out for an optimized crystal structure of NpScNb.

Calculated values
- E_tot (eV/atom) = -8.87
- distance to the lowest polymorph of the same formula (meV per atom) = 0
- space group = F-43m (216)

```
NpScNb
1.0
6.557 0.000 0.000
0.000 6.557 0.000
0.000 0.000 6.557
Np Sc Nb
4 4 4
direct
0.000 0.000 0.000
0.000 0.500 0.500
0.500 0.000 0.500
0.500 0.500 0.000
0.000 0.000 0.500
0.000 0.500 0.000
0.500 0.000 0.000
0.500 0.500 0.500
0.250 0.250 0.250
0.250 0.750 0.750
0.750 0.250 0.750
0.750 0.750 0.250
```


A plane-wave DFT calculation with PBE-GGA was carried out for an optimized crystal structure of Na2Mg2AlZnPd2.

Calculated values
- E_tot (eV/atom) = -2.89
- space group = P-4m2 (115)

```
Na2Mg2AlZnPd2
1.0
4.628 0.000 0.000
0.000 4.628 0.000
0.000 0.000 6.542
Na Mg Al Zn Pd
2 2 1 1 2
direct
0.000 0.500 0.241
0.500 0.000 0.759
0.000 0.000 0.000
0.500 0.500 0.500
0.000 0.000 0.500
0.500 0.500 0.000
0.000 0.500 0.736
0.500 0.000 0.264
```


A plane-wave DFT calculation with PBE-GGA was carried out for an optimized crystal structure of PrTaSb.

Calculated values
- E_tot (eV/atom) = -6.61
- space group = F-43m (216)

```
PrTaSb
1.0
6.946 0.000 0.000
0.000 6.946 0.000
0.000 0.000 6.946
Pr Ta Sb
4 4 4
direct
0.000 0.000 0.000
0.000 0.500 0.500
0.500 0.000 0.500
0.500 0.500 0.000
0.000 0.000 0.500
0.000 0.500 0.000
0.500 0.000 0.000
0.500 0.500 0.500
0.250 0.250 0.250
0.250 0.750 0.750
0.750 0.250 0.750
0.750 0.750 0.250
```


A plane-wave DFT calculation with PBE-GGA was carried out for an optimized crystal structure of ZnFeReIr.

Calculated values
- E_tot (eV/atom) = -7.59
- distance to the lowest polymorph of the same formula (meV per atom) = 0
- space group = F-43m (216)

```
ZnFeReIr
1.0
6.048 0.000 0.000
0.000 6.048 0.000
0.000 0.000 6.048
Zn Fe Re Ir
4 4 4 4
direct
0.000 0.000 0.000
0.000 0.500 0.500
0.500 0.000 0.500
0.500 0.500 0.000
0.250 0.250 0.250
0.250 0.750 0.750
0.750 0.250 0.750
0.750 0.750 0.250
0.000 0.000 0.500
0.000 0.500 0.000
0.500 0.000 0.000
0.500 0.500 0.500
0.250 0.250 0.750
0.250 0.750 0.250
0.750 0.250 0.250
0.750 0.750 0.750
```